# 1
# Ni2H meta-GGA SCAN single point on PBEsol structure
data_Ni2H
_chemical_formula_sum 'Ni2 H1'
_space_group_name_H-M_alt 'P 1'
_space_group_IT_number 1
_cell_length_a 2.519
_cell_length_b 2.519
_cell_length_c 4.373
_cell_angle_alpha 73.26
_cell_angle_beta 73.26
_cell_angle_gamma 60.00
loop_
_space_group_symop_operation_xyz
'x,y,z'
loop_
_atom_site_label
_atom_site_type_symbol
_atom_site_fract_x
_atom_site_fract_y
_atom_site_fract_z
H1 H 0.500 0.500 0.500
Ni1 Ni 0.747 0.747 0.758
Ni2 Ni 0.253 0.253 0.242
# crystal system: trigonal
# symmetry: R-3m (166)



# 2
# La2Al meta-GGA SCAN single point on PBEsol structure
data_La2Al
_chemical_formula_sum 'La2 Al1'
_space_group_name_H-M_alt 'P 1'
_space_group_IT_number 1
_cell_length_a 3.717
_cell_length_b 5.062
_cell_length_c 5.062
_cell_angle_alpha 120.00
_cell_angle_beta 90.00
_cell_angle_gamma 90.00
loop_
_space_group_symop_operation_xyz
'x,y,z'
loop_
_atom_site_label
_atom_site_type_symbol
_atom_site_fract_x
_atom_site_fract_y
_atom_site_fract_z
Al1 Al 0.000 0.000 0.000
La1 La 0.326 0.667 0.333
La2 La 0.674 0.333 0.667
# crystal system: trigonal
# calculated formation energy: -0.25 eV/atom
# symmetry: P-3m1 (164)



# 3
# IrOsRu2 meta-GGA SCAN single point on PBEsol structure
data_IrOsRu2
_chemical_formula_sum 'Ir1 Os1 Ru2'
_space_group_name_H-M_alt 'P 1'
_space_group_IT_number 1
_cell_length_a 2.679
_cell_length_b 2.679
_cell_length_c 7.612
_cell_angle_alpha 90.00
_cell_angle_beta 90.00
_cell_angle_gamma 90.00
loop_
_space_group_symop_operation_xyz
'x,y,z'
loop_
_atom_site_label
_atom_site_type_symbol
_atom_site_fract_x
_atom_site_fract_y
_atom_site_fract_z
Ru1 Ru 0.500 0.500 0.248
Ru2 Ru 0.000 0.000 0.001
Ir1 Ir 0.000 0.000 0.499
Os1 Os 0.500 0.500 0.753
# crystal system: tetragonal
# calculated formation energy: 0.05 eV/atom
# energy relative to the lowest polymorph listed for this composition: 29 meV/atom
# symmetry: P4mm (99)



Raw total energy / eV/f.u.: -35.67 -94.71 -212.42